SrPuCdPt | PBE | relaxed

Unit cell a=7.461 b=7.461 c=7.461 alpha=90.00 beta=90.00 gamma=90.00
Space group F-43m (No. 216)
One atom of each set of equivalent atoms:
1 Sr 0.000 0.000 0.000
2 Pu 0.000 0.000 0.500
3 Cd 0.250 0.250 0.250
4 Pt 0.250 0.250 0.750

Magnetic moment = 5.790 μB per formula unit
V = 26.0 A^3/atom
VASP energy = -6.053 eV/atom
Crystal system = cubic
DFT formation energy = -0.31 eV per atom